The following is a DFT calculation (PBE-GGA) of a relaxed structure of Tm5Ru4Rh.

abc: 3.358 3.358 16.796
angles: 90.00 90.00 90.00
Fractional positions:
Tm 0.000 0.000 0.000
Tm 0.000 0.000 0.199
Tm 0.000 0.000 0.397
Tm 0.000 0.000 0.603
Tm 0.000 0.000 0.801
Ru 0.500 0.500 0.100
Ru 0.500 0.500 0.301
Ru 0.500 0.500 0.699
Ru 0.500 0.500 0.900
Rh 0.500 0.500 0.500

The electronic total energy comes out at -72.25 eV per cell. The energy of formation from the pure elements is -525 kJ/mol of formula units.


The following is a DFT calculation (PBE-GGA) of a relaxed structure of Tm8Ru2Rh.

abc: 7.469 7.469 5.736
angles: 100.49 100.49 113.28
Fractional positions:
Tm 0.000 0.000 0.000
Tm 0.025 0.283 0.597
Tm 0.150 0.579 0.190
Tm 0.283 0.025 0.597
Tm 0.439 0.698 0.790
Tm 0.579 0.150 0.190
Tm 0.698 0.439 0.790
Tm 0.725 0.725 0.377
Ru 0.049 0.668 0.686
Ru 0.668 0.049 0.686
Rh 0.364 0.364 0.075

The relative energy among the computed polymorphs comes out at 0.043 eV/atom. The electronic total energy comes out at -65.60 eV per cell. The energy of formation from the pure elements is -379 kJ/mol of formula units.


The following is a DFT calculation (PBE-GGA) of a relaxed structure of Tm6Ru2Rh.

abc: 9.562 7.498 6.816
angles: 83.68 51.20 45.11
Fractional positions:
Tm 0.129 0.871 0.129
Tm 0.203 0.461 0.539
Tm 0.461 0.203 0.797
Tm 0.539 0.797 0.203
Tm 0.797 0.539 0.461
Tm 0.871 0.129 0.871
Ru 0.166 0.166 0.834
Ru 0.834 0.834 0.166
Rh 0.500 0.500 0.500

The relative energy among the computed polymorphs comes out at 0.000 eV/atom. The electronic total energy comes out at -57.06 eV per cell. The energy of formation from the pure elements is -418 kJ/mol of formula units.